Record 1
This record from Alexandria describes a geometry-optimized Er2C3 structure. The functional is PBEsol.

Lattice parameters (Å, degrees): 8.0311 8.0311 8.0311 90.00 90.00 90.00
With the nearest neighbours (Å) after each atom.
Space group I-43d (No. 220)
Symmetry-distinct sites (fractional):
Er 0.0502 0.0502 0.0502 x16  6 C 2.45-2.55
C 0.0000 0.2500 0.2914 x24  1 C 1.34

Values from the calculation:
VASP energy	-0.595	Ry/atom
energy relative to the elements	-336.2	meV/atom

---

Record 2
This record from Alexandria describes a geometry-optimized Er2Fe17C3 structure. The functional is PBEsol.

Lattice parameters (Å, degrees): 8.4385 8.4385 8.1589 90.00 90.00 120.00
With the nearest neighbours (Å) after each atom.
Space group P6_3/mmc (No. 194)
Symmetry-distinct sites (fractional):
Er 0.0000 0.0000 0.2500 x2  3 C 2.42
Er 0.3333 0.6667 0.2500 x2  3 C 2.45
Fe 0.0000 0.5000 0.0000 x6  10 Fe 2.42-2.59
Fe 0.0537 0.3807 0.7500 x12  1 C 1.83
Fe 0.1675 0.3350 0.0203 x12  1 C 1.87
Fe 0.3333 0.6667 0.6069 x4  4 Fe 2.34-2.59
C 0.1654 0.3308 0.2500 x6  4 Fe 1.83-1.87

Values from the calculation:
VASP energy	-0.646	Ry/atom
energy relative to the elements	-98.7	meV/atom

---

Record 3
This record from Alexandria describes a geometry-optimized ErFeC2 structure. The functional is PBEsol.

Lattice parameters (Å, degrees): 3.5058 4.4888 5.8214 90.00 90.00 90.00
With the nearest neighbours (Å) after each atom.
Space group Amm2 (No. 38)
Symmetry-distinct sites (fractional):
Er 0.0000 0.0000 0.0000 x2  8 C 2.55-2.62
Fe 0.5000 0.0000 0.6080 x2  4 C 1.88-1.96
C 0.5000 0.1569 0.2936 x4  1 C 1.41

Values from the calculation:
VASP energy	-0.636	Ry/atom
energy relative to the elements	-360.6	meV/atom

---

Record 4
This record from Alexandria describes a geometry-optimized Er2Fe17C3 structure. The functional is PBEsol.

Lattice parameters (Å, degrees): 8.4199 8.4199 12.2508 90.00 90.00 120.00
With the nearest neighbours (Å) after each atom.
Space group R-3m (No. 166, hexagonal axes)
Symmetry-distinct sites (fractional):
Er 0.0000 0.0000 0.1570 x6  3 C 2.43
Fe 0.0000 0.0000 0.4042 x6  7 Fe 2.35-2.61
Fe 0.0000 0.2824 0.5000 x18  1 C 1.83
Fe 0.0000 0.5000 0.0000 x9  10 Fe 2.39-2.58
Fe 0.0048 0.5024 0.3473 x18  1 C 1.87
C 0.0000 0.5000 0.5000 x9  4 Fe 1.83-1.87

Values from the calculation:
VASP energy	-0.646	Ry/atom
energy relative to the elements	-99.0	meV/atom

---

Record 5
This record from Alexandria describes a geometry-optimized Er2Ga3Fe14C2 structure. The functional is PBEsol.

Lattice parameters (Å, degrees): 9.5550 8.3486 6.3949 90.00 99.09 90.00
With the nearest neighbours (Å) after each atom.
Space group C2/m (No. 12)
Symmetry-distinct sites (fractional):
Er 0.1534 0.0000 0.3377 x4  2 C 2.45
Ga 0.0000 0.5000 0.5000 x2  10 Fe 2.40-2.60
Ga 0.2500 0.2500 0.0000 x4  10 Fe 2.40-2.60
Fe 0.0000 0.1988 0.0000 x4  2 Ga 2.43, 6 Fe 2.45-2.58
Fe 0.0913 0.5000 0.9050 x4  1 Fe 2.28
Fe 0.0987 0.2472 0.6529 x8  1 C 1.87
Fe 0.1399 0.3562 0.2827 x8  1 C 1.83
Fe 0.1531 0.0000 0.8443 x4  7 Fe 2.41-2.70, 2 Ga 2.43
C 0.2500 0.2500 0.5000 x4  4 Fe 1.83-1.87

Values from the calculation:
VASP energy	-0.590	Ry/atom
energy relative to the elements	-181.4	meV/atom

---

Record 6
This record from Alexandria describes a geometry-optimized ErFe2SiC structure. The functional is PBEsol.

Lattice parameters (Å, degrees): 3.6794 10.2781 6.6140 90.00 90.00 90.00
With the nearest neighbours (Å) after each atom.
Space group Cmcm (No. 63)
Symmetry-distinct sites (fractional):
Er 0.0000 0.0505 0.2500 x4  4 C 2.53
Fe 0.0000 0.3346 0.0630 x8  1 C 1.75
Si 0.0000 0.2303 0.7500 x4  6 Fe 2.31-2.33
C 0.0000 0.5000 0.0000 x4  2 Fe 1.75

Values from the calculation:
VASP energy	-0.608	Ry/atom
formation energy from raw total energies	-0.63	eV per atom

---

Record 7
This record from Alexandria describes a geometry-optimized Er5Ge3C structure. The functional is PBEsol.

Lattice parameters (Å, degrees): 8.3227 8.3227 6.2659 90.00 90.00 120.00
With the nearest neighbours (Å) after each atom.
Space group P6_3/mcm (No. 193)
Symmetry-distinct sites (fractional):
Er 0.0000 0.2219 0.2500 x6  2 C 2.42
Er 0.3333 0.6667 0.0000 x4  6 Ge 2.97, 2 Er 3.13
Ge 0.0000 0.4080 0.7500 x6  7 Er 2.94-3.08
C 0.0000 0.0000 0.0000 x2  6 Er 2.42

Values from the calculation:
VASP energy	-0.459	Ry/atom
energy relative to the elements	-792.9	meV/atom

---

Record 8
This record from Alexandria describes a geometry-optimized KErC2O6 structure. The functional is PBEsol.

Lattice parameters (Å, degrees): 8.2823 9.4815 6.8491 90.00 109.63 90.00
With the nearest neighbours (Å) after each atom.
Space group C2/c (No. 15)
Symmetry-distinct sites (fractional):
K 0.0000 0.1210 0.2500 x4  8 O 2.75-2.98, 2 C 3.05
Er 0.0000 0.4089 0.7500 x4  8 O 2.23-2.42
C 0.2298 0.3730 0.2508 x8  3 O 1.27-1.32
O 0.0813 0.3825 0.1005 x8  1 C 1.32
O 0.1748 0.2347 0.7307 x8  1 C 1.27
O 0.2327 0.0233 0.6197 x8  1 C 1.29

Values from the calculation:
VASP energy	-0.579	Ry/atom
formation energy from raw total energies	-2.19	eV per atom

---

The highest VASP energy belongs to which entry?
Er5Ge3C

---

Look up the VASP energy of the third one.
-0.636 Ry/atom

---

The highest VASP energy belongs to which entry?
Er5Ge3C